Arrangement one

## Y5Pt3 (PBEsol)

Data for Y5Pt3 after structural relaxation.

Values from the calculation:
M_tot: 0.0004 μB per atom
SG: I4/mcm

Cell lengths 5.9027, 8.4061, 8.4061 Å; angles 82.92, 69.45, 69.45 degrees
Last column: nearest neighbours and their distance in Å.
Sites, in units of the cell vectors:
Pt 0.7500 0.0000 0.0000  8 Y 2.92, 2 Pt 2.95
Pt 0.2500 0.0000 0.0000  8 Y 2.92, 2 Pt 2.95
Pt 0.3413 0.5000 0.8174  6 Y 2.90-3.07
Pt 0.6587 0.5000 0.1826  6 Y 2.90-3.07
Pt 0.8413 0.8174 0.5000  6 Y 2.90-3.07
Pt 0.1587 0.1826 0.5000  6 Y 2.90-3.07
Y 0.7500 0.5000 0.5000  4 Pt 2.90, 2 Y 2.95
Y 0.2500 0.5000 0.5000  4 Pt 2.90, 2 Y 2.95
Y 0.4160 0.8734 0.2946  4 Pt 2.92-3.07, 1 Y 3.23
Y 0.5840 0.1266 0.7054  4 Pt 2.92-3.07, 1 Y 3.23
Y 0.9160 0.2946 0.8734  4 Pt 2.92-3.07, 1 Y 3.23
Y 0.0840 0.7054 0.1266  4 Pt 2.92-3.07, 1 Y 3.23
Y 0.2106 0.8734 0.7054  4 Pt 2.92-3.07, 1 Y 3.23
Y 0.7894 0.1266 0.2946  4 Pt 2.92-3.07, 1 Y 3.23
Y 0.2894 0.2946 0.1266  4 Pt 2.92-3.07, 1 Y 3.23
Y 0.7106 0.7054 0.8734  4 Pt 2.92-3.07, 1 Y 3.23

Arrangement two

## Y5Pt3 (PBEsol)

Data for Y5Pt3 after structural relaxation.

Values from the calculation:
M_tot: 0.0000 μB per atom
SG: P6_3/mcm

Cell lengths 6.0628, 8.3608, 8.3608 Å; angles 120.00, 90.00, 90.00 degrees
Last column: nearest neighbours and their distance in Å.
Sites, in units of the cell vectors:
Pt 0.7500 0.0000 0.3953  7 Y 2.89-2.99
Pt 0.2500 0.0000 0.6047  7 Y 2.89-2.99
Pt 0.7500 0.6047 0.6047  7 Y 2.89-2.99
Pt 0.2500 0.6047 0.0000  7 Y 2.89-2.99
Pt 0.2500 0.3953 0.3953  7 Y 2.89-2.99
Pt 0.7500 0.3953 0.0000  7 Y 2.89-2.99
Y 0.2500 0.0000 0.2467  3 Pt 2.89-2.99
Y 0.7500 0.0000 0.7533  3 Pt 2.89-2.99
Y 0.2500 0.7533 0.7533  3 Pt 2.89-2.99
Y 0.7500 0.7533 0.0000  3 Pt 2.89-2.99
Y 0.5000 0.6667 0.3333  6 Pt 2.98, 2 Y 3.03
Y 0.0000 0.6667 0.3333  6 Pt 2.98, 2 Y 3.03
Y 0.5000 0.3333 0.6667  6 Pt 2.98, 2 Y 3.03
Y 0.0000 0.3333 0.6667  6 Pt 2.98, 2 Y 3.03
Y 0.7500 0.2467 0.2467  3 Pt 2.89-2.99
Y 0.2500 0.2467 0.0000  3 Pt 2.89-2.99

Relative to the most stable structure, the computed energies are arrangement one 0.057; arrangement two 0.000, all in eV/atom.

Arrangement one

## Y2ZrPt (PBEsol)

Data for Y2ZrPt after structural relaxation.

Values from the calculation:
M_tot: 0.0000 μB per atom
SG: Imm2

Cell lengths 3.5158, 5.0609, 6.1258 Å; angles 114.40, 106.68, 90.00 degrees
Last column: nearest neighbours and their distance in Å.
Sites, in units of the cell vectors:
Pt 0.7607 0.2607 0.5213  2 Zr 2.71, 2 Y 2.95
Y 0.0370 0.0370 0.0739  2 Pt 2.95, 4 Zr 3.20
Y 0.2473 0.7473 0.4945  4 Pt 3.08, 2 Zr 3.35, 2 Y 3.37
Zr 0.4551 0.4551 0.9102  2 Pt 2.71

Arrangement two

## Y2ZrPt (PBEsol)

Data for Y2ZrPt after structural relaxation.

Values from the calculation:
M_tot: 0.0000 μB per atom
SG: R-3m

Cell lengths 3.4985, 3.4985, 9.4629 Å; angles 79.35, 79.35, 60.00 degrees
Last column: nearest neighbours and their distance in Å.
Sites, in units of the cell vectors:
Pt 0.0000 0.0000 0.0000  6 Y 2.82
Y 0.2626 0.2626 0.2122  3 Pt 2.82
Y 0.7374 0.7374 0.7878  3 Pt 2.82
Zr 0.5000 0.5000 0.5000  6 Y 3.34, 6 Zr 3.50

Relative to the most stable structure, the computed energies are arrangement one 0.000; arrangement two 0.228, all in eV/atom.

Arrangement one

## Zr5Pt (PBEsol)

Data for Zr5Pt after structural relaxation.

Values from the calculation:
M_tot: 0.0000 μB per atom
SG: P4/mmm

Cell lengths 3.3013, 3.3013, 11.4232 Å; angles 90.00, 90.00, 90.00 degrees
Last column: nearest neighbours and their distance in Å.
Sites, in units of the cell vectors:
Zr 0.0000 0.0000 0.8572  4 Pt 2.85, 4 Zr 3.08
Zr 0.0000 0.0000 0.1428  4 Pt 2.85, 4 Zr 3.08
Zr 0.5000 0.5000 0.6807  12 Zr 3.08-3.30
Zr 0.5000 0.5000 0.3193  12 Zr 3.08-3.30
Zr 0.0000 0.0000 0.5000  12 Zr 3.12-3.30
Pt 0.5000 0.5000 0.0000  8 Zr 2.85

Arrangement two

## Zr5Pt (PBEsol)

Data for Zr5Pt after structural relaxation.

Values from the calculation:
M_tot: 0.0002 μB per atom
SG: P6/mmm

Cell lengths 5.0378, 5.4909, 5.4909 Å; angles 120.00, 90.00, 90.00 degrees
Last column: nearest neighbours and their distance in Å.
Sites, in units of the cell vectors:
Pt 0.0000 0.0000 0.0000  6 Zr 3.17
Zr 0.5000 0.0000 0.5000  8 Zr 2.75-2.98
Zr 0.0000 0.6667 0.3333  9 Zr 2.98-3.17, 3 Pt 3.17
Zr 0.5000 0.5000 0.5000  8 Zr 2.75-2.98
Zr 0.5000 0.5000 0.0000  8 Zr 2.75-2.98
Zr 0.0000 0.3333 0.6667  9 Zr 2.98-3.17, 3 Pt 3.17

Arrangement three

## Zr5Pt (PBEsol)

Data for Zr5Pt after structural relaxation.

Values from the calculation:
M_tot: 0.0000 μB per atom
SG: Cm

Cell lengths 3.2256, 5.6277, 7.6368 Å; angles 107.42, 90.00, 106.65 degrees
Last column: nearest neighbours and their distance in Å.
Sites, in units of the cell vectors:
Zr 0.4083 0.8167 0.2300  2 Pt 2.76, 1 Zr 3.03
Zr 0.7045 0.4091 0.3577  10 Zr 3.03-3.28
Zr 0.0409 0.0817 0.5887  11 Zr 3.08-3.28, 1 Pt 3.31
Zr 0.3411 0.6822 0.7170  2 Pt 2.74
Zr 0.6822 0.3645 0.9458  2 Pt 2.74
Pt 0.9896 0.9792 0.9941  6 Zr 2.74-2.76

Relative to the most stable structure, the computed energies are arrangement one 0.000; arrangement two 0.906; arrangement three 0.019, all in eV/atom.

Arrangement one

## Zr4Pt (PBEsol)

Data for Zr4Pt after structural relaxation.

Values from the calculation:
M_tot: 0.0000 μB per atom
SG: I4/m

Cell lengths 3.4042, 5.7077, 5.7077 Å; angles 84.90, 72.65, 72.65 degrees
Last column: nearest neighbours and their distance in Å.
Sites, in units of the cell vectors:
Zr 0.7859 0.8044 0.6237  2 Pt 2.87, 6 Zr 3.04-3.05
Zr 0.2141 0.1956 0.3763  2 Pt 2.87, 6 Zr 3.04-3.05
Zr 0.5904 0.6237 0.1956  2 Pt 2.87, 6 Zr 3.04-3.05
Zr 0.4096 0.3763 0.8044  2 Pt 2.87, 6 Zr 3.04-3.05
Pt 0.0000 0.0000 0.0000  8 Zr 2.87

Arrangement two

## Zr4Pt (PBEsol)

Data for Zr4Pt after structural relaxation.

Values from the calculation:
M_tot: 0.0000 μB per atom
SG: I4/mmm

Cell lengths 3.7260, 3.7260, 8.3006 Å; angles 102.97, 102.97, 90.00 degrees
Last column: nearest neighbours and their distance in Å.
Sites, in units of the cell vectors:
Pt 0.0000 0.0000 0.0000  8 Zr 2.95
Zr 0.7500 0.2500 0.5000  4 Zr 2.63
Zr 0.4157 0.4157 0.8313  1 Zr 2.66, 4 Pt 2.95
Zr 0.5843 0.5843 0.1687  1 Zr 2.66, 4 Pt 2.95
Zr 0.2500 0.7500 0.5000  4 Zr 2.63

Relative to the most stable structure, the computed energies are arrangement one 0.000; arrangement two 0.747, all in eV/atom.

Arrangement one

## RbSr3Rh (PBEsol)

Data for RbSr3Rh after structural relaxation.

Values from the calculation:
M_tot: 0.0000 μB per atom
SG: Pmmm

Cell lengths 4.4019, 5.8884, 9.0256 Å; angles 90.00, 90.00, 90.00 degrees
Last column: nearest neighbours and their distance in Å.
Sites, in units of the cell vectors:
Sr 0.0000 0.5000 0.0000  2 Rh 2.94
Sr 0.5000 0.0000 0.7889  2 Rh 2.91
Sr 0.5000 0.0000 0.2111  2 Rh 2.91
Rh 0.0000 0.0000 0.0000  6 Sr 2.91-2.94
Rb 0.0000 0.5000 0.5000  2 Rb 4.40, 10 Sr 4.51

Arrangement two

## RbSr3Rh (PBEsol)

Data for RbSr3Rh after structural relaxation.

Values from the calculation:
M_tot: 0.0001 μB per atom
SG: Pm-3m

Cell lengths 5.9829, 5.9829, 5.9829 Å; angles 90.00, 90.00, 90.00 degrees
Last column: nearest neighbours and their distance in Å.
Sites, in units of the cell vectors:
Sr 0.0000 0.5000 0.0000  2 Rh 2.99
Sr 0.0000 0.0000 0.5000  2 Rh 2.99
Sr 0.5000 0.0000 0.0000  2 Rh 2.99
Rh 0.0000 0.0000 0.0000  6 Sr 2.99
Rb 0.5000 0.5000 0.5000  12 Sr 4.23

Relative to the most stable structure, the computed energies are arrangement one 0.000; arrangement two 0.024, all in eV/atom.

Arrangement one

## RbTaRh3 (PBEsol)

Data for RbTaRh3 after structural relaxation.

Values from the calculation:
M_tot: 0.0001 μB per atom
SG: Pm-3m

Cell lengths 4.7956, 4.7956, 4.7956 Å; angles 90.00, 90.00, 90.00 degrees
Last column: nearest neighbours and their distance in Å.
Sites, in units of the cell vectors:
Rh 0.0000 0.5000 0.0000  2 Ta 2.40
Rh 0.0000 0.0000 0.5000  2 Ta 2.40
Rh 0.5000 0.0000 0.0000  2 Ta 2.40
Rb 0.5000 0.5000 0.5000  12 Rh 3.39
Ta 0.0000 0.0000 0.0000  6 Rh 2.40

Arrangement two

## RbTaRh3 (PBEsol)

Data for RbTaRh3 after structural relaxation.

Values from the calculation:
M_tot: 0.1156 μB per atom
SG: Pm-3m

Cell lengths 4.6042, 4.6042, 4.6042 Å; angles 90.00, 90.00, 90.00 degrees
Last column: nearest neighbours and their distance in Å.
Sites, in units of the cell vectors:
Rh 0.0000 0.5000 0.0000  2 Rb 2.30
Rh 0.0000 0.0000 0.5000  2 Rb 2.30
Rh 0.5000 0.0000 0.0000  2 Rb 2.30
Rb 0.0000 0.0000 0.0000  6 Rh 2.30
Ta 0.5000 0.5000 0.5000  12 Rh 3.26

Relative to the most stable structure, the computed energies are arrangement one 0.000; arrangement two 1.697, all in eV/atom.